First-principles (GGA+U) data for an optimized crystal structure of Cs2HfNiF6, as listed in Alexandria via LeMat-Bulk.

* N(E_F): 0.283 states/eV/f.u.
* uncorrected energy: -5.30 eV/atom

```
Cs2HfNiF6
1.0
-3.322 3.322 5.046
3.322 -3.322 5.046
3.322 3.322 -5.046
Cs Hf Ni F
2 1 1 6
direct
0.250 0.750 0.500 Cs
0.750 0.250 0.500 Cs
0.000 0.000 0.000 Hf
0.500 0.500 0.000 Ni
0.199 0.199 0.000 F
0.214 0.214 0.428 F
0.214 0.786 0.000 F
0.786 0.214 0.000 F
0.786 0.786 0.572 F
0.801 0.801 0.000 F
```